Entry from the Alexandria database: crystalline Th4C3Se at its relaxed geometry (PBE).

Results
The calculation puts the total energy at -65.37 eV/cell. The total magnetic moment is 0.00 Bohr magnetons per cell. The formation energy (no corrections) is -54.7 kJ per mole of atoms. The value obtained for the density is 10.212 Mg/m³.

Unit cell a=3.835 b=5.591 c=7.910 alpha=90.00 beta=90.00 gamma=90.00
Space group Pmmm (No. 47)
Asymmetric unit:
1 Th 0.000 0.000 0.000 (multiplicity 1)
2 Th 0.000 0.000 0.500 (multiplicity 1)
3 Th 0.500 0.500 0.217 (multiplicity 2)
4 C 0.000 0.500 0.000 (multiplicity 1)
5 C 0.500 0.000 0.251 (multiplicity 2)
6 Se 0.000 0.500 0.500 (multiplicity 1)